# 1
Below is a relaxed LiNd4Ag5 crystal, with properties calculated at the GGA-PBE level.

Properties
* uncorrected energy: -37.47 eV/cell
* formation energy: -0.2225 eV/atom
* density of states at the Fermi level: 9.06 states/eV/f.u.
* ρ: 7.56 g/cm³
* crystal system: tetragonal

```
data_LiNd4Ag5
_space_group_name_H-M_alt 'P 4/m m m'
_space_group_IT_number 123
_space_group_name_Hall '-P 4 2'
_cell_length_a 3.654
_cell_length_b 3.654
_cell_length_c 18.479
_cell_angle_alpha 90.00
_cell_angle_beta 90.00
_cell_angle_gamma 90.00
loop_
_atom_site_label
_atom_site_type_symbol
_atom_site_fract_x
_atom_site_fract_y
_atom_site_fract_z
Li1 Li 0.000 0.000 0.000
Nd1 Nd 0.000 0.000 0.183
Nd2 Nd 0.000 0.000 0.394
Ag1 Ag 0.500 0.500 0.077
Ag2 Ag 0.500 0.500 0.289
Ag3 Ag 0.500 0.500 0.500
```

# 2
Below is a relaxed HoPu2V crystal, with properties calculated at the GGA-PBE level.

Properties
* uncorrected energy: -162.19 eV/cell
* formation energy: 0.4532 eV/atom
* density of states at the Fermi level: 10.43 states/eV/f.u.
* ρ: 12.46 g/cm³
* crystal system: cubic

```
data_HoPu2V
_space_group_name_H-M_alt 'F m -3 m'
_space_group_IT_number 225
_space_group_name_Hall '-F 4 2 3'
_cell_length_a 7.212
_cell_length_b 7.212
_cell_length_c 7.212
_cell_angle_alpha 90.00
_cell_angle_beta 90.00
_cell_angle_gamma 90.00
loop_
_atom_site_label
_atom_site_type_symbol
_atom_site_fract_x
_atom_site_fract_y
_atom_site_fract_z
Ho1 Ho 0.000 0.000 0.000
Pu1 Pu 0.250 0.250 0.250
V1 V 0.000 0.000 0.500
```

# 3
Below is a relaxed TbSmU2P4 crystal, with properties calculated at the GGA-PBE level.

Properties
* uncorrected energy: -63.81 eV/cell
* formation energy: -1.2811 eV/atom
* density of states at the Fermi level: 9.02 states/eV/f.u.
* ρ: 8.33 g/cm³
* crystal system: monoclinic

```
data_TbSmU2P4
_space_group_name_H-M_alt 'P 1 2/m 1'
_space_group_IT_number 10
_cell_length_a 6.883
_cell_length_b 3.975
_cell_length_c 7.008
_cell_angle_alpha 90.00
_cell_angle_beta 109.13
_cell_angle_gamma 90.00
loop_
_space_group_symop_operation_xyz
'x,y,z'
'-x,-y,-z'
'-x,y,-z'
'x,-y,z'
loop_
_atom_site_label
_atom_site_type_symbol
_atom_site_fract_x
_atom_site_fract_y
_atom_site_fract_z
Tb1 Tb 0.000 0.000 0.000
Sm1 Sm 0.500 0.500 0.000
U1 U 0.000 0.500 0.500
U2 U 0.500 0.000 0.500
P1 P 0.244 0.000 0.739
P2 P 0.251 0.500 0.259
```

# 4
Below is a relaxed BaMnZnIr2 crystal, with properties calculated at the GGA-PBE level.

Properties
* uncorrected energy: -16.37 eV/cell
* formation energy: 2.7434 eV/atom
* density of states at the Fermi level: 8.59 states/eV/f.u.
* ρ: 8.49 g/cm³
* crystal system: tetragonal

```
data_BaMnZnIr2
_space_group_name_H-M_alt 'P 4/m m m'
_space_group_IT_number 123
_space_group_name_Hall '-P 4 2'
_cell_length_a 5.121
_cell_length_b 5.121
_cell_length_c 4.786
_cell_angle_alpha 90.00
_cell_angle_beta 90.00
_cell_angle_gamma 90.00
loop_
_atom_site_label
_atom_site_type_symbol
_atom_site_fract_x
_atom_site_fract_y
_atom_site_fract_z
Ba1 Ba 0.000 0.000 0.000
Mn1 Mn 0.000 0.000 0.500
Zn1 Zn 0.500 0.500 0.500
Ir1 Ir 0.000 0.500 0.000
```

# 5
Below is a relaxed LiThAl2Ag4 crystal, with properties calculated at the GGA-PBE level.

Properties
* uncorrected energy: -89.56 eV/cell
* formation energy: -0.2035 eV/atom
* density of states at the Fermi level: 5.12 states/eV/f.u.
* ρ: 7.88 g/cm³
* crystal system: trigonal

```
data_LiThAl2Ag4
_space_group_name_H-M_alt 'R -3 m'
_space_group_IT_number 166
_space_group_name_Hall '-R 3 2"'
_cell_length_a 4.5101
_cell_length_b 4.5101
_cell_length_c 25.9957
_cell_angle_alpha 90.00
_cell_angle_beta 90.00
_cell_angle_gamma 120.00
loop_
_atom_site_label
_atom_site_type_symbol
_atom_site_fract_x
_atom_site_fract_y
_atom_site_fract_z
Li1 Li 0.0000 0.0000 0.0000
Th1 Th 0.0000 0.0000 0.5000
Al1 Al 0.0000 0.0000 0.2557
Ag1 Ag 0.0000 0.0000 0.0979
Ag2 Ag 0.0000 0.0000 0.3658
```

# 6
Below is a relaxed Zr3N2 crystal, with properties calculated at the GGA-PBE level.

Properties
* uncorrected energy: -295.47 eV/cell
* density of states at the Fermi level: 2.12 states/eV/f.u.
* ρ: 6.82 g/cm³
* formation energy from raw total energies: -1.39 eV per atom
* crystal system: trigonal

```
data_Zr3N2
_space_group_name_H-M_alt 'R -3 c'
_space_group_IT_number 167
_space_group_name_Hall '-R 3 2"c'
_cell_length_a 5.6787
_cell_length_b 5.6787
_cell_length_c 15.7764
_cell_angle_alpha 90.00
_cell_angle_beta 90.00
_cell_angle_gamma 120.00
loop_
_atom_site_label
_atom_site_type_symbol
_atom_site_fract_x
_atom_site_fract_y
_atom_site_fract_z
Zr1 Zr 0.0000 0.3252 0.2500
N1 N 0.0000 0.0000 0.1613
```

# 7
Below is a relaxed K2TaMn crystal, with properties calculated at the GGA-PBE level.

Properties
* uncorrected energy: -36.24 eV/cell
* formation energy: 1.2747 eV/atom
* density of states at the Fermi level: 4.04 states/eV/f.u.
* ρ: 5.11 g/cm³
* crystal system: orthorhombic
* relative energy among the computed polymorphs: 540 meV per atom

```
data_K2TaMn
_space_group_name_H-M_alt 'C m m m'
_space_group_IT_number 65
_space_group_name_Hall '-C 2 2'
_cell_length_a 3.095
_cell_length_b 5.183
_cell_length_c 12.726
_cell_angle_alpha 90.00
_cell_angle_beta 90.00
_cell_angle_gamma 90.00
loop_
_atom_site_label
_atom_site_type_symbol
_atom_site_fract_x
_atom_site_fract_y
_atom_site_fract_z
K1 K 0.000 0.000 0.245
Ta1 Ta 0.000 0.500 0.500
Mn1 Mn 0.000 0.500 0.000
```

# 8
Below is a relaxed Pr3Tm12Mg5 crystal, with properties calculated at the GGA-PBE level.

Properties
* uncorrected energy: -479.67 eV/cell
* formation energy: 0.8005 eV/atom
* density of states at the Fermi level: 28.31 states/eV/f.u.
* ρ: 5.40 g/cm³
* crystal system: cubic

```
data_Pr3Tm12Mg5
_space_group_name_H-M_alt 'I a -3 d'
_space_group_IT_number 230
_space_group_name_Hall '-I 4bd 2c 3'
_cell_length_a 18.498
_cell_length_b 18.498
_cell_length_c 18.498
_cell_angle_alpha 90.00
_cell_angle_beta 90.00
_cell_angle_gamma 90.00
loop_
_atom_site_label
_atom_site_type_symbol
_atom_site_fract_x
_atom_site_fract_y
_atom_site_fract_z
Pr1 Pr 0.000 0.250 0.125
Tm1 Tm 0.009 0.076 0.647
Mg1 Mg 0.000 0.000 0.000
Mg2 Mg 0.000 0.250 0.375
```